# Li2Ac3MnO9

An optimized crystal structure of Li2Ac3MnO9 (GGA+U, Alexandria via LeMat-Bulk).

a b c (Å): 5.5351 5.5351 6.9054
angles (deg): 90.00 90.00 120.00
Last column: nearest neighbours and their distance in Å.
Fractional positions:
Mn: 0.0000 0.0000 0.5000  6 O 1.90
Ac: 0.6667 0.3333 0.3233  12 O 2.75-2.85
Ac: 0.3333 0.6667 0.6767  12 O 2.75-2.85
Ac: 0.0000 0.0000 0.0000  12 O 2.77-2.82
Li: 0.3333 0.6667 0.1832  6 O 1.98-2.04
Li: 0.6667 0.3333 0.8168  6 O 1.98-2.04
O: 0.5000 0.5000 0.0000  2 Li 2.04
O: 0.6775 0.8388 0.3410  1 Mn 1.90, 1 Li 1.98
O: 0.8388 0.6775 0.6590  1 Mn 1.90, 1 Li 1.98
O: 0.1612 0.8388 0.3410  1 Mn 1.90, 1 Li 1.98
O: 0.0000 0.5000 0.0000  2 Li 2.04
O: 0.5000 0.0000 0.0000  2 Li 2.04
O: 0.8388 0.1612 0.6590  1 Mn 1.90, 1 Li 1.98
O: 0.1612 0.3225 0.3410  1 Mn 1.90, 1 Li 1.98
O: 0.3225 0.1612 0.6590  1 Mn 1.90, 1 Li 1.98

Summary:
The value obtained for the density of states at the Fermi level is 0.69 states/eV/atom. As for the uncorrected energy: -102.59 eV per cell.